TlIn3: optimized geometry, GGA-PBE.

Computed properties:
formation enthalpy at 0 K	0.06	eV per atom
crystal system	cubic
M_tot	0.0	μB per formula unit
density	7.9	Mg/m³

abc: 6.130 6.130 6.130
angles: 90.00 90.00 90.00
Space group Pm-3n (No. 223)
Inequivalent atoms, fractional coordinates:
Tl 0.000 0.000 0.000
In 0.000 0.250 0.500

***

ZrTlBS2: optimized geometry, GGA-PBE.

Computed properties:
crystal system	tetragonal
uncorrected formation energy	1.831	eV per atom
M_tot	0.0	μB per formula unit
density	4.4	Mg/m³

abc: 4.969 4.969 5.678
angles: 90.00 90.00 90.00
Space group P4/mmm (No. 123)
Inequivalent atoms, fractional coordinates:
Zr 0.000 0.000 0.000
Tl 0.000 0.000 0.500
B 0.500 0.500 0.000
S 0.000 0.500 0.500

***

Mn3GeW: optimized geometry, GGA-PBE.

Computed properties:
formation enthalpy at 0 K	1.41	eV per atom
crystal system	cubic
M_tot	8.8	μB per formula unit
density	6.4	Mg/m³

abc: 4.787 4.787 4.787
angles: 90.00 90.00 90.00
Space group Pm-3m (No. 221)
Inequivalent atoms, fractional coordinates:
Mn 0.000 0.000 0.500
Ge 0.500 0.500 0.500
W 0.000 0.000 0.000

***

AcTlCd: optimized geometry, GGA-PBE.

Computed properties:
formation enthalpy at 0 K	-0.11	eV per atom
crystal system	tetragonal
E above lowest polymorph	0.236	eV per atom
M_tot	0.0	μB per formula unit
density	9.4	Mg/m³

abc: 4.524 4.524 9.419
angles: 90.00 90.00 90.00
Space group I4mm (No. 107)
Inequivalent atoms, fractional coordinates:
Ac 0.000 0.000 0.000
Tl 0.000 0.000 0.340
Cd 0.000 0.000 0.659